# 1
The following is a PBE calculation of a relaxed MnTl2TcMo crystal, from Alexandria via LeMat-Bulk.

The calculation puts the density of states at the Fermi level at 0.95 states/eV/atom.

The structure belongs to space group P4/mmm (No. 123); the cell edges are 4.991, 4.991 and 4.409 Å and the angles 90.00°, 90.00° and 90.00°. The asymmetric unit holds Mn at (0.000, 0.000, 0.000), Tl at (0.000, 0.500, 0.000), Tc at (0.500, 0.500, 0.500) and Mo at (0.000, 0.000, 0.500).

=====

# 2
The following is a PBE calculation of a relaxed Li3VB crystal, from Alexandria via LeMat-Bulk.

The calculation puts the density of states at the Fermi level at 1.08 states/eV/atom.

The structure belongs to space group Pm-3m (No. 221); the cell edges are 4.780, 4.780 and 4.780 Å and the angles 90.00°, 90.00° and 90.00°. The asymmetric unit holds Li at (0.000, 0.000, 0.500), V at (0.000, 0.000, 0.000) and B at (0.500, 0.500, 0.500).

=====

no.,E (eV/cell),energy of formation from the pure elements (meV/atom)
1,-27.81,1458.7
2,-12.58,1791.7